No. 1
Here is La4Y6Er after structural relaxation from the Alexandria database. Energies are from PBE.

```
La4Y6Er
1.0
-3.3919 3.3919 8.5553
3.3919 -3.3919 8.5553
3.3919 3.3919 -8.5553
La Y Er
4 6 1
direct
0.1350 0.1350 0.6238
0.4888 0.8650 0.0000
0.5112 0.5112 0.3762
0.8650 0.4888 0.0000
0.0000 0.5000 0.5000
0.0554 0.7050 0.0000
0.2950 0.2950 0.3504
0.5000 0.0000 0.5000
0.7050 0.0554 0.0000
0.9446 0.9446 0.6496
0.5000 0.5000 0.0000
```

Total DFT energy (no corrections) (Ry per atom): -0.399
N(E_F) (states/eV per atom): 1.5085
ΔH_f (0 K) (eV/atom): 0.30

=====

No. 2
Here is La3Y6Er after structural relaxation from the Alexandria database. Energies are from PBE.

```
La3Y6Er
1.0
4.9951 2.8839 3.8977
-4.9951 2.8839 3.8977
0.0000 -5.7678 3.8977
La Y Er
3 6 1
direct
0.0000 0.0000 0.0000
0.2473 0.2473 0.2473
0.4950 0.4950 0.4950
0.1700 0.8212 0.5027
0.3257 0.6744 0.9930
0.5027 0.1700 0.8212
0.6744 0.9930 0.3257
0.8212 0.5027 0.1700
0.9930 0.3257 0.6744
0.7474 0.7474 0.7474
```

Total DFT energy (no corrections) (Ry per atom): -0.408
N(E_F) (states/eV per atom): 2.2249
ΔH_f (0 K) (eV/atom): 0.26

=====

Number 1: M_tot 0.0 μB/f.u.. Number 2: M_tot 0.0 μB/f.u..